First-principles (GGA-PBE) data for a relaxed RbLa2Zr crystal, as listed in the Alexandria database.

extended XYZ file:
```
8
Lattice="-5.568 6.704 -1.939 -5.094 -2.209 6.992 -3.029 4.886 5.037" Properties=species:S:1:pos:R:3 pbc="T T T"
La -5.648 5.620 4.819
La -3.957 -0.139 5.623
La -5.553 5.954 0.685
La -12.222 7.328 9.052
Zr -6.963 6.919 2.812
Zr 0.000 0.000 0.000
Rb -5.331 2.248 2.527
Rb -6.726 2.462 7.277
```

Calculated values
The calculation puts the formation energy at 877 meV per atom. The density of states at the Fermi level is 1.16 states/eV/atom. Its energy above the most stable polymorph in this dataset is 160 meV/atom.

---

First-principles (GGA-PBE) data for a relaxed Rb2LaZr crystal, as listed in the Alexandria database.

extended XYZ file:
```
8
Lattice="4.774 0.000 0.000 0.000 4.774 0.000 2.387 2.387 14.643" Properties=species:S:1:pos:R:3 pbc="T T T"
Zr 2.387 2.387 0.000
Zr 2.387 4.774 7.322
La 0.000 0.000 0.000
La 4.774 2.387 7.322
Rb 3.569 1.193 3.661
Rb 1.204 3.580 3.661
Rb 3.580 3.591 10.982
Rb 5.967 5.956 10.982
```

Calculated values
The calculation puts the formation energy at 969 meV per atom. The density of states at the Fermi level is 0.97 states/eV/atom. Its energy above the most stable polymorph in this dataset is 0 meV/atom.

---

First-principles (GGA-PBE) data for a relaxed LaRe2 crystal, as listed in the Alexandria database.

extended XYZ file:
```
3
Lattice="-0.773 4.558 -0.665 -3.309 1.396 -2.985 -2.013 -0.017 2.223" Properties=species:S:1:pos:R:3 pbc="T T T"
La 0.000 0.000 0.000
Re -2.685 1.974 0.246
Re -3.410 3.964 -1.673
```

Calculated values
The calculation puts the formation energy at 802 meV per atom. The density of states at the Fermi level is 0.85 states/eV/atom.

---

First-principles (GGA-PBE) data for a relaxed LaRe2 crystal, as listed in the Alexandria database.

extended XYZ file:
```
3
Lattice="-0.170 -4.143 -0.638 2.326 2.416 -2.520 3.708 -0.591 2.855" Properties=species:S:1:pos:R:3 pbc="T T T"
Re 3.474 -0.086 -0.368
Re 2.390 -2.232 0.066
La 0.000 0.000 0.000
```

Calculated values
The calculation puts the formation energy at 249 meV per atom. The density of states at the Fermi level is 0.95 states/eV/atom.

---

no.,total DFT energy (no corrections) (eV per atom),mass density (g cm⁻³)
1,-3.965,4.4
2,-2.884,4.0
3,-9.140,15.0
4,-9.692,11.8